DFT (GGA+U) results for an optimized crystal structure of Na2CrOsO6.

abc: 5.3735 5.4138 7.6492
angles: 90.00 90.02 90.00
With the nearest neighbours (Å) after each atom.
Element x y z (fractional)
O (0.2815, 0.7073, 0.0318)  1 Os 1.90, 1 Cr 1.99
Na (0.0042, 0.9728, 0.2503)  8 O 2.38-2.66
O (0.7815, 0.7927, 0.5318)  1 Os 1.90, 1 Cr 1.99
Cr (0.5000, 0.0000, 0.0000)  6 O 1.99
O (0.4364, 0.9896, 0.7440)  1 Os 1.90, 1 Cr 1.99
Cr (0.0000, 0.5000, 0.5000)  6 O 1.99
Os (0.5000, 0.0000, 0.5000)  6 O 1.90
O (0.5636, 0.0104, 0.2560)  1 Os 1.90, 1 Cr 1.99
Os (0.0000, 0.5000, 0.0000)  6 O 1.90
Na (0.4958, 0.4728, 0.2497)  8 O 2.38-2.66
O (0.0636, 0.4896, 0.7560)  1 Os 1.90, 1 Cr 1.99
Na (0.9958, 0.0272, 0.7497)  8 O 2.38-2.66
O (0.2058, 0.2188, 0.0329)  1 Os 1.90, 1 Cr 1.99
O (0.2185, 0.2073, 0.4682)  1 Os 1.90, 1 Cr 1.99
O (0.9364, 0.5104, 0.2440)  1 Os 1.90, 1 Cr 1.99
O (0.2942, 0.7188, 0.4671)  1 Os 1.90, 1 Cr 1.99
O (0.7185, 0.2927, 0.9682)  1 Os 1.90, 1 Cr 1.99
O (0.7942, 0.7812, 0.9671)  1 Os 1.90, 1 Cr 1.99
Na (0.5042, 0.5272, 0.7503)  8 O 2.38-2.66
O (0.7058, 0.2812, 0.5329)  1 Os 1.90, 1 Cr 1.99

theoretical density: 5.7 Mg/m³
final energy: -6.5793 eV/atom